TcTeIr2 | the Open Quantum Materials Database | PBE | relaxed; VASP energy = -29.1 eV/f.u.; ρ = 15.45 g/cm³; total magnetization = 0.083 μB per cell
1.0
0.0000 3.2002 3.2002
3.2002 0.0000 3.2002
3.2002 3.2002 0.0000
Tc Te Ir
1 1 2
Cartesian
0.0000 0.0000 0.0000 Tc
1.6001 1.6001 1.6001 Te
3.2002 3.2002 3.2002 Ir
4.8003 4.8003 4.8003 Ir